Computed, not measured: a relaxed YMo2 crystal at the PBE-GGA level of DFT.

Summary:
crystal system	orthorhombic
V	57.0	Å³/f.u.
total energy	-8.87	eV per atom
calculated formation energy	48.8	kJ per mole of atoms

Cell lengths 7.2522, 7.2522, 4.8869 Å; angles 90.00, 90.00, 153.67 degrees
Closest atoms and distances in Å follow each position.
Sites, in units of the cell vectors:
Y1 0.8418 0.1582 0.5000  6 Mo 2.78-2.96, 2 Y 3.07
Y2 0.1582 0.8418 0.5000  6 Mo 2.78-2.96, 2 Y 3.07
Mo1 0.0000 0.0000 0.0000  8 Mo 2.94-2.95
Mo2 0.3277 0.6723 0.0000  4 Mo 2.75-2.94, 4 Y 2.96
Mo3 0.6723 0.3277 0.0000  4 Mo 2.75-2.94, 4 Y 2.96
Mo4 0.5000 0.5000 0.5000  4 Y 2.78, 4 Mo 2.95